The following is a DFT calculation (GGA+U) of a relaxed structure of Fe2SbF.

abc: 5.147 5.147 12.859
angles: 90.00 90.00 90.00
Space group I-42d (No. 122)
One atom of each set of equivalent atoms:
Fe: 0.145 0.250 0.125
Sb: 0.000 0.000 0.500
F: 0.000 0.000 0.000

Results
Energy above the most stable polymorph in this dataset = 0 meV/atom